Record 1
# Mn3FeGe2 | Alexandria via LeMat-Bulk | PBE | optimized geometry
# **Energy of formation from the pure elements**: -92 meV/atom
# **D(E_F)**: 0.4659 states/eV/atom
# **Volume**: 326 Å³ per cell
data_Mn3FeGe2
_symmetry_space_group_name_H-M 'I b a m'
_symmetry_Int_Tables_number 72
_symmetry_space_group_name_Hall '-I 2 2c'
_cell_length_a 4.992
_cell_length_b 13.075
_cell_length_c 4.994
_cell_angle_alpha 90.00
_cell_angle_beta 90.00
_cell_angle_gamma 90.00
loop_
_atom_site_label
_atom_site_type_symbol
_atom_site_fract_x
_atom_site_fract_y
_atom_site_fract_z
_atom_site_occupancy
Mn1 Mn 0.000 0.000 0.250 1
Mn2 Mn 0.247 0.321 0.000 1
Fe1 Fe 0.000 0.500 0.250 1
Ge1 Ge 0.249 0.132 0.000 1

=====

Record 2
# Mn6FeGe | Alexandria via LeMat-Bulk | PBE | optimized geometry
# **Energy of formation from the pure elements**: 72 meV/atom
# **D(E_F)**: 1.2109 states/eV/atom
# **Volume**: 185 Å³ per cell
data_Mn6FeGe
_symmetry_space_group_name_H-M 'C m m m'
_symmetry_Int_Tables_number 65
_symmetry_space_group_name_Hall '-C 2 2'
_cell_length_a 5.647
_cell_length_b 8.146
_cell_length_c 4.032
_cell_angle_alpha 90.00
_cell_angle_beta 90.00
_cell_angle_gamma 90.00
loop_
_atom_site_label
_atom_site_type_symbol
_atom_site_fract_x
_atom_site_fract_y
_atom_site_fract_z
_atom_site_occupancy
Mn1 Mn 0.000 0.246 0.000 1
Mn2 Mn 0.247 0.000 0.000 1
Mn3 Mn 0.250 0.250 0.500 1
Fe1 Fe 0.000 0.000 0.500 1
Ge1 Ge 0.000 0.500 0.500 1

=====

Record 3
# Mn2Fe2Ge | Alexandria via LeMat-Bulk | PBE | optimized geometry
# **Energy of formation from the pure elements**: 236 meV/atom
# **Relative energy among the computed polymorphs**: 225.0 meV per atom
# **D(E_F)**: 1.1586 states/eV/atom
# **Volume**: 122 Å³ per cell
data_Mn2Fe2Ge
_symmetry_space_group_name_H-M 'P 4/m b m'
_symmetry_Int_Tables_number 127
_symmetry_space_group_name_Hall '-P 4 2ab'
_cell_length_a 6.833
_cell_length_b 6.833
_cell_length_c 2.604
_cell_angle_alpha 90.00
_cell_angle_beta 90.00
_cell_angle_gamma 90.00
loop_
_atom_site_label
_atom_site_type_symbol
_atom_site_fract_x
_atom_site_fract_y
_atom_site_fract_z
_atom_site_occupancy
Mn1 Mn 0.167 0.333 0.000 1
Fe1 Fe 0.126 0.626 0.500 1
Ge1 Ge 0.000 0.000 0.500 1

=====

Record 4
# Mn4FeGe | Alexandria via LeMat-Bulk | PBE | optimized geometry
# **Energy of formation from the pure elements**: -21 meV/atom
# **D(E_F)**: 0.7744 states/eV/atom
# **Volume**: 138 Å³ per cell
data_Mn4FeGe
_symmetry_space_group_name_H-M 'C m m m'
_symmetry_Int_Tables_number 65
_symmetry_space_group_name_Hall '-C 2 2'
_cell_length_a 3.899
_cell_length_b 9.070
_cell_length_c 3.890
_cell_angle_alpha 90.00
_cell_angle_beta 90.00
_cell_angle_gamma 90.00
loop_
_atom_site_label
_atom_site_type_symbol
_atom_site_fract_x
_atom_site_fract_y
_atom_site_fract_z
_atom_site_occupancy
Mn1 Mn 0.000 0.173 0.000 1
Mn2 Mn 0.000 0.326 0.500 1
Fe1 Fe 0.000 0.000 0.500 1
Ge1 Ge 0.000 0.500 0.000 1

=====

Record 5
# MnFe4Ge2 | Alexandria via LeMat-Bulk | PBE | optimized geometry
# **Energy of formation from the pure elements**: 78 meV/atom
# **D(E_F)**: 0.8204 states/eV/atom
# **Volume**: 370 Å³ per cell
data_MnFe4Ge2
_symmetry_space_group_name_H-M 'F m m m'
_symmetry_Int_Tables_number 69
_symmetry_space_group_name_Hall '-F 2 2'
_cell_length_a 4.855
_cell_length_b 8.423
_cell_length_c 9.038
_cell_angle_alpha 90.00
_cell_angle_beta 90.00
_cell_angle_gamma 90.00
loop_
_atom_site_label
_atom_site_type_symbol
_atom_site_fract_x
_atom_site_fract_y
_atom_site_fract_z
_atom_site_occupancy
Mn1 Mn 0.000 0.000 0.000 1
Fe1 Fe 0.000 0.201 0.500 1
Fe2 Fe 0.250 0.250 0.250 1
Ge1 Ge 0.000 0.000 0.313 1

=====

Record 6
# MnFeGe6 | Alexandria via LeMat-Bulk | PBE | optimized geometry
# **Energy of formation from the pure elements**: 287 meV/atom
# **D(E_F)**: 0.5965 states/eV/atom
# **Volume**: 299 Å³ per cell
data_MnFeGe6
_symmetry_space_group_name_H-M 'C 1 2/m 1'
_symmetry_Int_Tables_number 12
_symmetry_space_group_name_Hall '-C 2y'
_cell_length_a 6.112
_cell_length_b 8.132
_cell_length_c 6.088
_cell_angle_alpha 90.00
_cell_angle_beta 98.35
_cell_angle_gamma 90.00
loop_
_atom_site_label
_atom_site_type_symbol
_atom_site_fract_x
_atom_site_fract_y
_atom_site_fract_z
_atom_site_occupancy
Mn1 Mn 0.000 0.000 0.000 1
Fe1 Fe 0.000 0.500 0.500 1
Ge1 Ge 0.236 0.330 0.751 1
Ge2 Ge 0.248 0.500 0.253 1

=====

Record 7
# Mn4Fe5Ge | Alexandria via LeMat-Bulk | PBE | optimized geometry
# **Energy of formation from the pure elements**: 432 meV/atom
# **D(E_F)**: 1.5608 states/eV/atom
# **Volume**: 253 Å³ per cell
data_Mn4Fe5Ge
_symmetry_space_group_name_H-M 'I 4 m m'
_symmetry_Int_Tables_number 107
_symmetry_space_group_name_Hall 'I 4 -2'
_cell_length_a 7.538
_cell_length_b 7.538
_cell_length_c 4.449
_cell_angle_alpha 90.00
_cell_angle_beta 90.00
_cell_angle_gamma 90.00
loop_
_atom_site_label
_atom_site_type_symbol
_atom_site_fract_x
_atom_site_fract_y
_atom_site_fract_z
_atom_site_occupancy
Mn1 Mn 0.000 0.319 0.000 1
Fe1 Fe 0.000 0.000 0.747 1
Fe2 Fe 0.189 0.189 0.505 1
Ge1 Ge 0.000 0.000 0.225 1

=====

Record 8
# MnFe3Ge | Alexandria via LeMat-Bulk | PBE | optimized geometry
# **Energy of formation from the pure elements**: 280 meV/atom
# **Relative energy among the computed polymorphs**: 0.0 meV per atom
# **D(E_F)**: 1.0533 states/eV/atom
# **Volume**: 257 Å³ per cell
data_MnFe3Ge
_symmetry_space_group_name_H-M 'I m m a'
_symmetry_Int_Tables_number 74
_symmetry_space_group_name_Hall '-I 2b 2'
_cell_length_a 2.647
_cell_length_b 4.007
_cell_length_c 24.233
_cell_angle_alpha 90.00
_cell_angle_beta 90.00
_cell_angle_gamma 90.00
loop_
_atom_site_label
_atom_site_type_symbol
_atom_site_fract_x
_atom_site_fract_y
_atom_site_fract_z
_atom_site_occupancy
Mn1 Mn 0.000 0.250 0.124 1
Fe1 Fe 0.000 0.250 0.025 1
Fe2 Fe 0.000 0.250 0.290 1
Fe3 Fe 0.000 0.250 0.797 1
Ge1 Ge 0.000 0.250 0.580 1